First-principles (GGA-PBEsol) data for a geometry-optimized Ba2PbW structure, as listed in Alexandria.

```
data_Ba2PbW
_chemical_formula_sum 'Ba4 Pb2 W2'
_symmetry_space_group_name_H-M 'C 1 m 1'
_symmetry_Int_Tables_number 8
_symmetry_space_group_name_Hall 'C -2y'
_cell_length_a 12.864
_cell_length_b 3.275
_cell_length_c 6.086
_cell_angle_alpha 90.00
_cell_angle_beta 107.22
_cell_angle_gamma 90.00
loop_
_atom_site_label
_atom_site_fract_x
_atom_site_fract_y
_atom_site_fract_z
Ba1 0.000 0.000 0.000
Ba2 0.186 0.000 0.631
Pb1 0.421 0.000 0.454
W1 0.253 0.500 0.169
```

Summary:
- E_tot (eV/atom) = -4.815
- energy of formation from the pure elements (kcal/mol of atoms) = 16.39

---

First-principles (GGA-PBEsol) data for a geometry-optimized BaPbW structure, as listed in Alexandria.

```
data_BaPbW
_chemical_formula_sum 'Ba4 Pb4 W4'
_symmetry_space_group_name_H-M 'F m m 2'
_symmetry_Int_Tables_number 42
_symmetry_space_group_name_Hall 'F 2 -2'
_cell_length_a 4.054
_cell_length_b 4.774
_cell_length_c 15.835
_cell_angle_alpha 90.00
_cell_angle_beta 90.00
_cell_angle_gamma 90.00
loop_
_atom_site_label
_atom_site_fract_x
_atom_site_fract_y
_atom_site_fract_z
Ba1 0.000 0.000 0.000
Pb1 0.000 0.000 0.699
W1 0.000 0.000 0.333
```

Summary:
- E_tot (eV/atom) = -5.722
- energy of formation from the pure elements (kcal/mol of atoms) = 21.44

---

First-principles (GGA-PBEsol) data for a geometry-optimized BaPbW2 structure, as listed in Alexandria.

```
data_BaPbW2
_chemical_formula_sum 'Ba1 Pb1 W2'
_symmetry_space_group_name_H-M 'P 4/m m m'
_symmetry_Int_Tables_number 123
_symmetry_space_group_name_Hall '-P 4 2'
_cell_length_a 3.707
_cell_length_b 3.707
_cell_length_c 7.231
_cell_angle_alpha 90.00
_cell_angle_beta 90.00
_cell_angle_gamma 90.00
loop_
_atom_site_label
_atom_site_fract_x
_atom_site_fract_y
_atom_site_fract_z
Ba1 0.000 0.000 0.000
Pb1 0.000 0.000 0.500
W1 0.500 0.500 0.336
```

Summary:
- E_tot (eV/atom) = -7.220
- energy of formation from the pure elements (kcal/mol of atoms) = 28.14

---

First-principles (GGA-PBEsol) data for a geometry-optimized BaPbW2 structure, as listed in Alexandria.

```
data_BaPbW2
_chemical_formula_sum 'Ba2 Pb2 W4'
_symmetry_space_group_name_H-M 'I m m 2'
_symmetry_Int_Tables_number 44
_symmetry_space_group_name_Hall 'I 2 -2'
_cell_length_a 3.345
_cell_length_b 5.413
_cell_length_c 10.948
_cell_angle_alpha 90.00
_cell_angle_beta 90.00
_cell_angle_gamma 90.00
loop_
_atom_site_label
_atom_site_fract_x
_atom_site_fract_y
_atom_site_fract_z
Ba1 0.000 0.000 0.000
Pb1 0.000 0.500 0.794
W1 0.000 0.000 0.554
W2 0.000 0.500 0.214
```

Summary:
- E_tot (eV/atom) = -7.388
- energy of formation from the pure elements (kcal/mol of atoms) = 24.28

---

First-principles (GGA-PBEsol) data for a geometry-optimized BaY2Pb structure, as listed in Alexandria.

```
data_BaY2Pb
_chemical_formula_sum 'Ba3 Y6 Pb3'
_symmetry_space_group_name_H-M 'R -3 m'
_symmetry_Int_Tables_number 166
_symmetry_space_group_name_Hall '-R 3 2"'
_cell_length_a 3.6594
_cell_length_b 3.6594
_cell_length_c 34.4521
_cell_angle_alpha 90.00
_cell_angle_beta 90.00
_cell_angle_gamma 120.00
loop_
_atom_site_label
_atom_site_fract_x
_atom_site_fract_y
_atom_site_fract_z
Ba1 0.0000 0.0000 0.0000
Y1 0.0000 0.0000 0.2396
Pb1 0.0000 0.0000 0.5000
```

Summary:
- E_tot (eV/atom) = -4.997
- energy of formation from the pure elements (kcal/mol of atoms) = -1.12

---

First-principles (GGA-PBEsol) data for a geometry-optimized BaY2Pb structure, as listed in Alexandria.

```
data_BaY2Pb
_chemical_formula_sum 'Ba1 Y2 Pb1'
_symmetry_space_group_name_H-M 'P 4 m m'
_symmetry_Int_Tables_number 99
_symmetry_space_group_name_Hall 'P 4 -2'
_cell_length_a 4.208
_cell_length_b 4.208
_cell_length_c 7.681
_cell_angle_alpha 90.00
_cell_angle_beta 90.00
_cell_angle_gamma 90.00
loop_
_atom_site_label
_atom_site_fract_x
_atom_site_fract_y
_atom_site_fract_z
Ba1 0.000 0.000 0.000
Y1 0.000 0.000 0.451
Y2 0.500 0.500 0.673
Pb1 0.500 0.500 0.272
```

Summary:
- E_tot (eV/atom) = -5.124
- energy of formation from the pure elements (kcal/mol of atoms) = -4.06